(1)
An optimized crystal structure of Ca3Cu5, computed with PBE.

The space group is P6_3/mcm (No. 193) and the conventional cell measures 9.1145, 9.1145 and 4.7014 Å, with angles of 90.00, 90.00 and 120.00 degrees. The inequivalent atoms are Ca at (0.0000, 0.3622, 0.2500), Cu at (0.0000, 0.1555, 0.7500) and Cu at (0.3333, 0.6667, 0.0000).

Its crystal system is hexagonal. The value obtained for the volume is 338.24 Å³ per cell. The value obtained for the formation energy is 0.0242 eV per atom.

***

(2)
An optimized crystal structure of Na2SrTlSb2, computed with PBE.

The space group is Pmc2_1 (No. 26) and the conventional cell measures 4.791, 9.540 and 8.441 Å, with angles of 90.00, 90.00 and 90.00 degrees. The inequivalent atoms are Na at (0.000, 0.080, 0.000), Na at (0.500, 0.179, 0.318), Sr at (0.500, 0.433, 0.922), Tl at (0.000, 0.301, 0.586), Sb at (0.000, 0.384, 0.208) and Sb at (0.500, 0.133, 0.709).

Its crystal system is orthorhombic. The value obtained for the volume is 385.85 Å³ per cell. As for the uncorrected formation energy: -0.506 eV per atom.

***

(3)
An optimized crystal structure of GeBi2Au, computed with PBE.

The space group is R-3m (No. 166, hexagonal axes) and the conventional cell measures 3.3401, 3.3401 and 32.9982 Å, with angles of 90.00, 90.00 and 120.00 degrees. The inequivalent atoms are Ge at (0.0000, 0.0000, 0.0000), Bi at (0.0000, 0.0000, 0.0915) and Au at (0.0000, 0.0000, 0.5000).

Its crystal system is trigonal. The value obtained for the volume is 318.82 Å³ per cell. The value obtained for the formation energy is 0.2645 eV per atom.

***

(4)
An optimized crystal structure of LiZrAs2O8, computed with PBE.

The space group is I-4m2 (No. 119) and the conventional cell measures 6.861, 6.861 and 6.219 Å, with angles of 90.00, 90.00 and 90.00 degrees. The inequivalent atoms are Li at (0.000, 0.000, 0.000), Zr at (0.000, 0.500, 0.750), As at (0.000, 0.000, 0.500), As at (0.000, 0.500, 0.250), O at (0.000, 0.196, 0.670) and O at (0.000, 0.313, 0.064).

Its crystal system is tetragonal. The value obtained for the volume is 292.77 Å³ per cell. As for the uncorrected formation energy: -1.687 eV per atom.

***

(5)
An optimized crystal structure of NpSICl, computed with PBE.

The space group is Cm (No. 8) and the conventional cell measures 7.706, 4.449 and 8.356 Å, with angles of 90.00, 107.96 and 90.00 degrees. The inequivalent atoms are Np at (0.000, 0.000, 0.000), S at (0.358, 0.000, 0.075), I at (0.125, 0.000, 0.373) and Cl at (0.104, 0.500, 0.814).

Its crystal system is monoclinic. The value obtained for the volume is 272.48 Å³ per cell. As for the uncorrected formation energy: -1.071 eV per atom.

***

no.,final energy (eV/atom),total magnetic moment (μB per atom)
1,-3.286,0.00
2,-2.995,0.00
3,-3.650,0.00
4,-6.639,0.09
5,-6.188,0.75